First-principles (PBE-GGA) data for AcPu2As after structural relaxation, as listed in the Alexandria database.

- DFT formation energy (eV per formula unit) = -0.458
- crystal system = trigonal
- space group = No. 166
- energy relative to the lowest polymorph listed for this composition (eV/atom) = 0.185

a b c (Å): 3.785 3.785 32.126
angles (deg): 90.00 90.00 120.00
Positions (direct):
Ac1 0.000 0.000 0.000
Ac2 0.333 0.667 0.667
Ac3 0.667 0.333 0.333
Pu1 0.000 0.000 0.109
Pu2 0.000 0.000 0.891
Pu3 0.333 0.667 0.558
Pu4 0.333 0.667 0.776
Pu5 0.667 0.333 0.224
Pu6 0.667 0.333 0.442
As1 0.000 0.000 0.500
As2 0.333 0.667 0.167
As3 0.667 0.333 0.833


First-principles (PBE-GGA) data for AcPuAs3 after structural relaxation, as listed in the Alexandria database.

- DFT formation energy (eV per formula unit) = -2.963
- crystal system = cubic
- space group = No. 221

a b c (Å): 5.271 5.271 5.271
angles (deg): 90.00 90.00 90.00
Positions (direct):
Ac1 0.000 0.000 0.000
Pu1 0.500 0.500 0.500
As1 0.000 0.500 0.500
As2 0.500 0.000 0.500
As3 0.500 0.500 0.000


First-principles (PBE-GGA) data for AcPuAs2 after structural relaxation, as listed in the Alexandria database.

- DFT formation energy (eV per formula unit) = -3.716
- crystal system = tetragonal
- space group = No. 123
- energy relative to the lowest polymorph listed for this composition (eV/atom) = 0.280

a b c (Å): 3.715 3.715 7.376
angles (deg): 90.00 90.00 90.00
Positions (direct):
Ac1 0.000 0.000 0.000
Pu1 0.000 0.000 0.500
As1 0.500 0.500 0.271
As2 0.500 0.500 0.729


First-principles (PBE-GGA) data for Ac3PuAs4 after structural relaxation, as listed in the Alexandria database.

- DFT formation energy (eV per formula unit) = -10.293
- crystal system = cubic
- space group = No. 221

a b c (Å): 6.328 6.328 6.328
angles (deg): 90.00 90.00 90.00
Positions (direct):
Ac1 0.000 0.000 0.500
Ac2 0.000 0.500 0.000
Ac3 0.500 0.000 0.000
Pu1 0.500 0.500 0.500
As1 0.000 0.000 0.000
As2 0.000 0.500 0.500
As3 0.500 0.000 0.500
As4 0.500 0.500 0.000


First-principles (PBE-GGA) data for Ac2PuAs3Rh4 after structural relaxation, as listed in the Alexandria database.

- DFT formation energy (eV per formula unit) = -8.665
- crystal system = tetragonal
- space group = No. 115

a b c (Å): 4.278 4.278 11.355
angles (deg): 90.00 90.00 90.00
Positions (direct):
Ac1 0.000 0.500 0.233
Ac2 0.500 0.000 0.767
Pu1 0.000 0.000 0.500
As1 0.000 0.500 0.877
As2 0.500 0.000 0.123
As3 0.500 0.500 0.500
Rh1 0.000 0.000 0.000
Rh2 0.000 0.500 0.656
Rh3 0.500 0.000 0.344
Rh4 0.500 0.500 0.000


First-principles (PBE-GGA) data for AcPuAsS after structural relaxation, as listed in the Alexandria database.

- crystal system = cubic
- space group = No. 216
- energy relative to the lowest polymorph listed for this composition (eV/atom) = 0.140

a b c (Å): 7.352 7.352 7.352
angles (deg): 90.00 90.00 90.00
Positions (direct):
Ac1 0.000 0.000 0.000
Ac2 0.000 0.500 0.500
Ac3 0.500 0.000 0.500
Ac4 0.500 0.500 0.000
Pu1 0.000 0.000 0.500
Pu2 0.000 0.500 0.000
Pu3 0.500 0.000 0.000
Pu4 0.500 0.500 0.500
As1 0.250 0.250 0.250
As2 0.250 0.750 0.750
As3 0.750 0.250 0.750
As4 0.750 0.750 0.250
S1 0.250 0.250 0.750
S2 0.250 0.750 0.250
S3 0.750 0.250 0.250
S4 0.750 0.750 0.750